! GdCoNO, relaxed, DFT PBE+U; values from VASP
&SYSTEM
  ibrav = 0, nat = 8, ntyp = 4
/
ATOMIC_SPECIES
Co 58.93 Co.upf
O 16.00 O.upf
Gd 157.25 Gd.upf
N 14.01 N.upf
CELL_PARAMETERS angstrom
-2.322 1.216 2.649
-2.183 -2.970 -0.549
3.719 -3.645 4.932
ATOMIC_POSITIONS crystal
Co 0.250 0.750 0.500
Co 0.750 0.250 0.500
O 0.750 0.250 0.000
O 0.250 0.750 0.000
Gd 0.250 0.250 0.167
Gd 0.750 0.750 0.833
N 0.250 0.250 0.584
N 0.750 0.750 0.416
! **Calculated volume**: 12.452 A^3/atom
! **Magnetization**: 0.25 μB per atom
! **Distance to the lowest polymorph of the same formula**: 41 meV per atom
! **Final energy**: -56.5 eV/cell